No. 1
This record from the Alexandria database describes a relaxed structure of Be2CrAsIr. The functional is PBE-GGA.

Cell and atoms, written as POSCAR:
```
Be2CrAsIr
1.0
4.1684 0.0000 0.0000
0.0000 4.4706 0.0000
0.0000 0.0000 4.1684
Be Cr As Ir
2 1 1 1
direct
0.5000 0.0000 0.0000
0.0000 0.0000 0.5000
0.0000 0.0000 0.0000
0.5000 0.5000 0.5000
0.0000 0.5000 0.0000
```

No. 2
This record from the Alexandria database describes a relaxed structure of Be2CrNiAs. The functional is PBE-GGA.

Cell and atoms, written as POSCAR:
```
Be2CrNiAs
1.0
3.9821 0.0000 0.0000
0.0000 4.4756 0.0000
0.0000 0.0000 3.9821
Be Cr Ni As
2 1 1 1
direct
0.5000 0.0000 0.0000
0.0000 0.0000 0.5000
0.0000 0.5000 0.0000
0.0000 0.0000 0.0000
0.5000 0.5000 0.5000
```

Number 1: density of states at the Fermi level 3.193 states/eV/cell, formation energy from the elements 1.15 eV/atom. Number 2: density of states at the Fermi level 3.847 states/eV/cell, formation energy from the elements 0.57 eV/atom.